No. 1
The following is a DFT calculation (PBE-GGA) of Gd3Tm2Se2 after structural relaxation.

a = 12.9379 Å, b = 12.9379 Å, c = 3.9508 Å
α = 90.00°, β = 90.00°, γ = 161.99°
Positions (direct):
Gd  0.8329  0.1671  0.5000
Gd  0.0000  0.0000  0.5000
Gd  0.1671  0.8329  0.5000
Se  0.6897  0.3103  0.0000
Se  0.3103  0.6897  0.0000
Tm  0.5760  0.4240  0.0000
Tm  0.4240  0.5760  0.0000

Results
The value obtained for the electronic total energy is -5.121 eV/atom. The space group is Cmmm.

No. 2
The following is a DFT calculation (PBE-GGA) of GdTm2Se3 after structural relaxation.

a = 4.0305 Å, b = 4.0305 Å, c = 9.9526 Å
α = 90.00°, β = 90.00°, γ = 120.00°
Positions (direct):
Gd  0.0000  0.0000  0.0000
Tm  0.3333  0.6667  0.6653
Tm  0.6667  0.3333  0.3347
Se  0.0000  0.0000  0.5000
Se  0.3333  0.6667  0.1749
Se  0.6667  0.3333  0.8251

Results
The value obtained for the electronic total energy is -5.714 eV/atom. The space group is P-3m1.